Entry 1:
# La3PrNd7 | Alexandria via LeMat-Bulk | GGA-PBE | optimized geometry
# Formation enthalpy at 0 K   0.209 eV per atom
data_La3PrNd7
_symmetry_space_group_name_H-M 'C 1 2/m 1'
_symmetry_Int_Tables_number 12
_cell_length_a 13.067
_cell_length_b 11.528
_cell_length_c 6.066
_cell_angle_alpha 90.00
_cell_angle_beta 117.58
_cell_angle_gamma 90.00
loop_
_symmetry_equiv_pos_as_xyz
'x,y,z'
'-x,-y,-z'
'-x,y,-z'
'x,-y,z'
'x+1/2,y+1/2,z'
'-x+1/2,-y+1/2,-z'
'-x+1/2,y+1/2,-z'
'x+1/2,-y+1/2,z'
loop_
_atom_site_label
_atom_site_type_symbol
_atom_site_fract_x
_atom_site_fract_y
_atom_site_fract_z
La1 La 0.000 0.000 0.000
La2 La 0.000 0.211 0.500
Pr1 Pr 0.000 0.500 0.000
Nd1 Nd 0.000 0.500 0.500
Nd2 Nd 0.203 0.200 0.203
Nd3 Nd 0.207 0.000 0.707

---

Entry 2:
# ZnW2C2 | Alexandria via LeMat-Bulk | GGA-PBE | optimized geometry
# Formation enthalpy at 0 K   0.626 eV per atom
data_ZnW2C2
_symmetry_space_group_name_H-M 'I 4/m m m'
_symmetry_Int_Tables_number 139
_symmetry_space_group_name_Hall '-I 4 2'
_cell_length_a 4.111
_cell_length_b 4.111
_cell_length_c 6.777
_cell_angle_alpha 90.00
_cell_angle_beta 90.00
_cell_angle_gamma 90.00
loop_
_atom_site_label
_atom_site_type_symbol
_atom_site_fract_x
_atom_site_fract_y
_atom_site_fract_z
Zn1 Zn 0.000 0.000 0.000
W1 W 0.000 0.500 0.250
C1 C 0.000 0.000 0.387

---

Entry 3:
# CaZnF2 | Alexandria via LeMat-Bulk | GGA-PBE | optimized geometry
# Formation energy without anion corrections   -57.789 kcal/mol of atoms
data_CaZnF2
_symmetry_space_group_name_H-M 'I -4 2 d'
_symmetry_Int_Tables_number 122
_symmetry_space_group_name_Hall 'I -4 2bw'
_cell_length_a 6.488
_cell_length_b 6.488
_cell_length_c 10.911
_cell_angle_alpha 90.00
_cell_angle_beta 90.00
_cell_angle_gamma 90.00
loop_
_atom_site_label
_atom_site_type_symbol
_atom_site_fract_x
_atom_site_fract_y
_atom_site_fract_z
Ca1 Ca 0.000 0.000 0.000
Zn1 Zn 0.000 0.000 0.500
F1 F 0.059 0.250 0.125

---

Entry 4:
# ErTmCuNi | Alexandria via LeMat-Bulk | GGA-PBE | optimized geometry
# Formation enthalpy at 0 K   -0.363 eV per atom
data_ErTmCuNi
_symmetry_space_group_name_H-M 'F -4 3 m'
_symmetry_Int_Tables_number 216
_symmetry_space_group_name_Hall 'F -4 2 3'
_cell_length_a 6.757
_cell_length_b 6.757
_cell_length_c 6.757
_cell_angle_alpha 90.00
_cell_angle_beta 90.00
_cell_angle_gamma 90.00
loop_
_atom_site_label
_atom_site_type_symbol
_atom_site_fract_x
_atom_site_fract_y
_atom_site_fract_z
Er1 Er 0.000 0.000 0.000
Tm1 Tm 0.000 0.000 0.500
Cu1 Cu 0.250 0.250 0.750
Ni1 Ni 0.250 0.250 0.250

---

Entry 5:
# BeSb2SeI | Alexandria via LeMat-Bulk | GGA-PBE | optimized geometry
# Formation energy without anion corrections   25.955 kcal/mol of atoms
data_BeSb2SeI
_symmetry_space_group_name_H-M 'P 4/m m m'
_symmetry_Int_Tables_number 123
_symmetry_space_group_name_Hall '-P 4 2'
_cell_length_a 5.451
_cell_length_b 5.451
_cell_length_c 5.812
_cell_angle_alpha 90.00
_cell_angle_beta 90.00
_cell_angle_gamma 90.00
loop_
_atom_site_label
_atom_site_type_symbol
_atom_site_fract_x
_atom_site_fract_y
_atom_site_fract_z
Be1 Be 0.000 0.000 0.000
Sb1 Sb 0.000 0.500 0.500
Se1 Se 0.500 0.500 0.500
I1 I 0.500 0.500 0.000

---

Entry 6:
# RbInAgHg2 | Alexandria via LeMat-Bulk | GGA-PBE | optimized geometry
# Formation enthalpy at 0 K   -0.004 eV per atom
data_RbInAgHg2
_symmetry_space_group_name_H-M 'P 4/m m m'
_symmetry_Int_Tables_number 123
_symmetry_space_group_name_Hall '-P 4 2'
_cell_length_a 5.592
_cell_length_b 5.592
_cell_length_c 5.428
_cell_angle_alpha 90.00
_cell_angle_beta 90.00
_cell_angle_gamma 90.00
loop_
_atom_site_label
_atom_site_type_symbol
_atom_site_fract_x
_atom_site_fract_y
_atom_site_fract_z
Rb1 Rb 0.000 0.000 0.000
In1 In 0.500 0.500 0.000
Ag1 Ag 0.500 0.500 0.500
Hg1 Hg 0.000 0.500 0.500

---

Entry 7:
# CaPuSnSb | Alexandria via LeMat-Bulk | GGA-PBE | optimized geometry
# Formation energy without anion corrections   -10.911 kcal/mol of atoms
data_CaPuSnSb
_symmetry_space_group_name_H-M 'F -4 3 m'
_symmetry_Int_Tables_number 216
_symmetry_space_group_name_Hall 'F -4 2 3'
_cell_length_a 7.649
_cell_length_b 7.649
_cell_length_c 7.649
_cell_angle_alpha 90.00
_cell_angle_beta 90.00
_cell_angle_gamma 90.00
loop_
_atom_site_label
_atom_site_type_symbol
_atom_site_fract_x
_atom_site_fract_y
_atom_site_fract_z
Ca1 Ca 0.000 0.000 0.000
Pu1 Pu 0.000 0.000 0.500
Sn1 Sn 0.250 0.250 0.750
Sb1 Sb 0.250 0.250 0.250

---

Entry 8:
# CsSrAuF2 | Alexandria via LeMat-Bulk | GGA-PBE | optimized geometry
# Formation energy without anion corrections   -23.931 kcal/mol of atoms
data_CsSrAuF2
_symmetry_space_group_name_H-M 'P 4/m m m'
_symmetry_Int_Tables_number 123
_symmetry_space_group_name_Hall '-P 4 2'
_cell_length_a 6.119
_cell_length_b 6.119
_cell_length_c 5.241
_cell_angle_alpha 90.00
_cell_angle_beta 90.00
_cell_angle_gamma 90.00
loop_
_atom_site_label
_atom_site_type_symbol
_atom_site_fract_x
_atom_site_fract_y
_atom_site_fract_z
Cs1 Cs 0.000 0.000 0.000
Sr1 Sr 0.500 0.500 0.000
Au1 Au 0.500 0.500 0.500
F1 F 0.000 0.500 0.500

---

Entry 9:
# Zr5Te4 | Alexandria via LeMat-Bulk | GGA-PBE | optimized geometry
# Formation energy without anion corrections   -12.749 kcal/mol of atoms
data_Zr5Te4
_symmetry_space_group_name_H-M 'P 63/m c m'
_symmetry_Int_Tables_number 193
_symmetry_space_group_name_Hall '-P 6c 2'
_cell_length_a 8.5819
_cell_length_b 8.5819
_cell_length_c 6.5311
_cell_angle_alpha 90.00
_cell_angle_beta 90.00
_cell_angle_gamma 120.00
loop_
_atom_site_label
_atom_site_type_symbol
_atom_site_fract_x
_atom_site_fract_y
_atom_site_fract_z
Zr1 Zr 0.0000 0.2770 0.2500
Zr2 Zr 0.3333 0.6667 0.0000
Te1 Te 0.0000 0.0000 0.0000
Te2 Te 0.0000 0.3901 0.7500

---

Entry 10:
# KCaPr2Se4 | Alexandria via LeMat-Bulk | GGA-PBE | optimized geometry
# Formation energy without anion corrections   -41.358 kcal/mol of atoms
data_KCaPr2Se4
_symmetry_space_group_name_H-M 'P 1 2/m 1'
_symmetry_Int_Tables_number 10
_cell_length_a 7.482
_cell_length_b 4.287
_cell_length_c 7.603
_cell_angle_alpha 90.00
_cell_angle_beta 108.75
_cell_angle_gamma 90.00
loop_
_symmetry_equiv_pos_as_xyz
'x,y,z'
'-x,-y,-z'
'-x,y,-z'
'x,-y,z'
loop_
_atom_site_label
_atom_site_type_symbol
_atom_site_fract_x
_atom_site_fract_y
_atom_site_fract_z
K1 K 0.000 0.000 0.000
Ca1 Ca 0.500 0.500 0.000
Pr1 Pr 0.000 0.500 0.500
Pr2 Pr 0.500 0.000 0.500
Se1 Se 0.258 0.000 0.747
Se2 Se 0.264 0.500 0.265

---

Entry 11:
# Dy5Zn2Pb | Alexandria via LeMat-Bulk | GGA-PBE | optimized geometry
# Formation enthalpy at 0 K   -0.335 eV per atom
data_Dy5Zn2Pb
_symmetry_space_group_name_H-M 'I 4/m c m'
_symmetry_Int_Tables_number 140
_symmetry_space_group_name_Hall '-I 4 2c'
_cell_length_a 8.134
_cell_length_b 8.134
_cell_length_c 12.906
_cell_angle_alpha 90.00
_cell_angle_beta 90.00
_cell_angle_gamma 90.00
loop_
_atom_site_label
_atom_site_type_symbol
_atom_site_fract_x
_atom_site_fract_y
_atom_site_fract_z
Dy1 Dy 0.000 0.000 0.000
Dy2 Dy 0.153 0.347 0.144
Zn1 Zn 0.138 0.362 0.500
Pb1 Pb 0.000 0.000 0.250

---

Entry 12:
# BaCd2InHg | Alexandria via LeMat-Bulk | GGA-PBE | optimized geometry
# Formation enthalpy at 0 K   -0.334 eV per atom
data_BaCd2InHg
_symmetry_space_group_name_H-M 'I m m 2'
_symmetry_Int_Tables_number 44
_cell_length_a 4.826
_cell_length_b 4.837
_cell_length_c 12.655
_cell_angle_alpha 90.00
_cell_angle_beta 90.00
_cell_angle_gamma 90.00
loop_
_symmetry_equiv_pos_as_xyz
'x,y,z'
'-x,-y,z'
'-x,y,z'
'x,-y,z'
'x+1/2,y+1/2,z+1/2'
'-x+1/2,-y+1/2,z+1/2'
'-x+1/2,y+1/2,z+1/2'
'x+1/2,-y+1/2,z+1/2'
loop_
_atom_site_label
_atom_site_type_symbol
_atom_site_fract_x
_atom_site_fract_y
_atom_site_fract_z
Ba1 Ba 0.000 0.000 0.000
Cd1 Cd 0.000 0.000 0.618
Cd2 Cd 0.000 0.500 0.252
In1 In 0.000 0.500 0.752
Hg1 Hg 0.000 0.000 0.391

---

Entry 13:
# Y2PuIn | Alexandria via LeMat-Bulk | GGA-PBE | optimized geometry
# Formation enthalpy at 0 K   -0.148 eV per atom
data_Y2PuIn
_symmetry_space_group_name_H-M 'P 4/m m m'
_symmetry_Int_Tables_number 123
_symmetry_space_group_name_Hall '-P 4 2'
_cell_length_a 4.926
_cell_length_b 4.926
_cell_length_c 4.630
_cell_angle_alpha 90.00
_cell_angle_beta 90.00
_cell_angle_gamma 90.00
loop_
_atom_site_label
_atom_site_type_symbol
_atom_site_fract_x
_atom_site_fract_y
_atom_site_fract_z
Y1 Y 0.000 0.500 0.000
Pu1 Pu 0.000 0.000 0.500
In1 In 0.500 0.500 0.500

---

Entry 14:
# Pm2Sm2DyY2 | Alexandria via LeMat-Bulk | GGA-PBE | optimized geometry
# Formation enthalpy at 0 K   0.130 eV per atom
data_Pm2Sm2DyY2
_symmetry_space_group_name_H-M 'R -3 m'
_symmetry_Int_Tables_number 166
_symmetry_space_group_name_Hall '-R 3 2"'
_cell_length_a 5.7417
_cell_length_b 5.7417
_cell_length_c 24.6178
_cell_angle_alpha 90.00
_cell_angle_beta 90.00
_cell_angle_gamma 120.00
loop_
_atom_site_label
_atom_site_type_symbol
_atom_site_fract_x
_atom_site_fract_y
_atom_site_fract_z
Pm1 Pm 0.0000 0.0000 0.1394
Sm1 Sm 0.0000 0.0000 0.2832
Dy1 Dy 0.0000 0.0000 0.0000
Y1 Y 0.0000 0.0000 0.4276

---

Entry 15:
# Cd4HgAu | Alexandria via LeMat-Bulk | GGA-PBE | optimized geometry
# Formation enthalpy at 0 K   -0.052 eV per atom
data_Cd4HgAu
_symmetry_space_group_name_H-M 'C 1 2/m 1'
_symmetry_Int_Tables_number 12
_cell_length_a 8.927
_cell_length_b 5.484
_cell_length_c 5.380
_cell_angle_alpha 90.00
_cell_angle_beta 90.16
_cell_angle_gamma 90.00
loop_
_symmetry_equiv_pos_as_xyz
'x,y,z'
'-x,-y,-z'
'-x,y,-z'
'x,-y,z'
'x+1/2,y+1/2,z'
'-x+1/2,-y+1/2,-z'
'-x+1/2,y+1/2,-z'
'x+1/2,-y+1/2,z'
loop_
_atom_site_label
_atom_site_type_symbol
_atom_site_fract_x
_atom_site_fract_y
_atom_site_fract_z
Cd1 Cd 0.163 0.000 0.499
Cd2 Cd 0.168 0.500 0.001
Hg1 Hg 0.000 0.500 0.500
Au1 Au 0.000 0.000 0.000

---

Entry 16:
# Bi2PdPb2 | Alexandria via LeMat-Bulk | GGA-PBE | optimized geometry
# Formation enthalpy at 0 K   -0.127 eV per atom
data_Bi2PdPb2
_symmetry_space_group_name_H-M 'I b a m'
_symmetry_Int_Tables_number 72
_symmetry_space_group_name_Hall '-I 2 2c'
_cell_length_a 6.804
_cell_length_b 14.174
_cell_length_c 5.965
_cell_angle_alpha 90.00
_cell_angle_beta 90.00
_cell_angle_gamma 90.00
loop_
_atom_site_label
_atom_site_type_symbol
_atom_site_fract_x
_atom_site_fract_y
_atom_site_fract_z
Bi1 Bi 0.178 0.081 0.000
Pd1 Pd 0.000 0.500 0.250
Pb1 Pb 0.159 0.327 0.000

---

Entry 17:
# CdCl3F12 | Alexandria via LeMat-Bulk | GGA-PBE | optimized geometry
# Formation energy without anion corrections   -19.988 kcal/mol of atoms
data_CdCl3F12
_symmetry_space_group_name_H-M 'R -3 c'
_symmetry_Int_Tables_number 167
_symmetry_space_group_name_Hall '-R 3 2"c'
_cell_length_a 10.7190
_cell_length_b 10.7190
_cell_length_c 16.9569
_cell_angle_alpha 90.00
_cell_angle_beta 90.00
_cell_angle_gamma 120.00
loop_
_atom_site_label
_atom_site_type_symbol
_atom_site_fract_x
_atom_site_fract_y
_atom_site_fract_z
Cd1 Cd 0.0000 0.0000 0.0000
Cl1 Cl 0.0000 0.3654 0.2500
F1 F 0.0000 0.2034 0.2500
F2 F 0.0000 0.4682 0.7500
F3 F 0.0656 0.1983 0.9223

---

Entry 18:
# Rb2SnHg6Pb | Alexandria via LeMat-Bulk | GGA-PBE | optimized geometry
# Formation enthalpy at 0 K   -0.062 eV per atom
data_Rb2SnHg6Pb
_symmetry_space_group_name_H-M 'C 1 2/m 1'
_symmetry_Int_Tables_number 12
_cell_length_a 11.840
_cell_length_b 11.854
_cell_length_c 8.372
_cell_angle_alpha 90.00
_cell_angle_beta 134.90
_cell_angle_gamma 90.00
loop_
_symmetry_equiv_pos_as_xyz
'x,y,z'
'-x,-y,-z'
'-x,y,-z'
'x,-y,z'
'x+1/2,y+1/2,z'
'-x+1/2,-y+1/2,-z'
'-x+1/2,y+1/2,-z'
'x+1/2,-y+1/2,z'
loop_
_atom_site_label
_atom_site_type_symbol
_atom_site_fract_x
_atom_site_fract_y
_atom_site_fract_z
Rb1 Rb 0.000 0.250 0.000
Sn1 Sn 0.000 0.000 0.500
Hg1 Hg 0.000 0.246 0.500
Hg2 Hg 0.246 0.000 0.500
Hg3 Hg 0.247 0.000 0.993
Pb1 Pb 0.000 0.500 0.500

---

Entry 19:
# Li2PBr | Alexandria via LeMat-Bulk | GGA-PBE | optimized geometry
# Formation energy without anion corrections   -12.707 kcal/mol of atoms
data_Li2PBr
_symmetry_space_group_name_H-M 'C m m m'
_symmetry_Int_Tables_number 65
_symmetry_space_group_name_Hall '-C 2 2'
_cell_length_a 4.504
_cell_length_b 4.564
_cell_length_c 6.955
_cell_angle_alpha 90.00
_cell_angle_beta 90.00
_cell_angle_gamma 90.00
loop_
_atom_site_label
_atom_site_type_symbol
_atom_site_fract_x
_atom_site_fract_y
_atom_site_fract_z
Li1 Li 0.000 0.000 0.246
P1 P 0.000 0.500 0.500
Br1 Br 0.000 0.500 0.000

---

Entry 20:
# AcSm4Cd | Alexandria via LeMat-Bulk | GGA-PBE | optimized geometry
# Formation enthalpy at 0 K   -0.037 eV per atom
data_AcSm4Cd
_symmetry_space_group_name_H-M 'P 1 21/c 1'
_symmetry_Int_Tables_number 14
_cell_length_a 6.795
_cell_length_b 10.022
_cell_length_c 6.738
_cell_angle_alpha 90.00
_cell_angle_beta 118.08
_cell_angle_gamma 90.00
loop_
_symmetry_equiv_pos_as_xyz
'x,y,z'
'-x,-y,-z'
'-x,y+1/2,-z+1/2'
'x,-y+1/2,z+1/2'
loop_
_atom_site_label
_atom_site_type_symbol
_atom_site_fract_x
_atom_site_fract_y
_atom_site_fract_z
Ac1 Ac 0.000 0.000 0.000
Sm1 Sm 0.128 0.150 0.589
Sm2 Sm 0.403 0.678 0.357
Cd1 Cd 0.500 0.000 0.500

---

| no. | total DFT energy (no corrections) (eV for the cell shown) |
| --- | --- |
| 1 | -101.27 |
| 2 | -85.00 |
| 3 | -68.17 |
| 4 | -81.46 |
| 5 | -11.38 |
| 6 | -7.18 |
| 7 | -105.41 |
| 8 | -14.74 |
| 9 | -120.57 |
| 10 | -40.94 |
| 11 | -127.78 |
| 12 | -16.93 |
| 13 | -30.59 |
| 14 | -106.69 |
| 15 | -15.10 |
| 16 | -84.02 |
| 17 | -256.67 |
| 18 | -24.16 |
| 19 | -26.23 |
| 20 | -48.25 |